# Sr2CuP

Sr2CuP after structural relaxation (PBEsol, Alexandria).

Cell: 4.156 4.282 6.097 Å, 110.56 90.00 90.00°
Positions (direct):
Sr (0.500, 0.982, 0.964)
Sr (0.000, 0.261, 0.522)
Cu (0.000, 0.571, 0.142)
P (0.500, 0.686, 0.372)

Results
- DOS(E_F): 0.69 states/eV/cell
- Volume: 101.6 Å³/f.u.
- Raw total energy: -0.149 Ha/atom
- Magnetization: 0.00 Bohr magnetons per cell
- Formation enthalpy at 0 K: -0.5963 eV per atom